# 1
Here is a relaxed structure of CaCdC2 from the Alexandria database. Energies are from PBE-GGA.

a = 7.7749 Å, b = 7.7749 Å, c = 7.7749 Å
α = 147.05°, β = 147.05°, γ = 47.28°
Closest atoms and distances in Å follow each position.
Sites, in units of the cell vectors:
Ca 0.0000 0.0000 0.0000  4 C 2.60
Ca 0.7500 0.2500 0.5000  4 C 2.60
Cd 0.2500 0.7500 0.5000  4 C 2.20
Cd 0.5000 0.5000 0.0000  4 C 2.20
C 0.2248 0.6250 0.0998  2 Cd 2.20
C 0.3750 0.4748 0.5998  2 Cd 2.20
C 0.5252 0.1250 0.9002  2 Cd 2.20
C 0.8750 0.7752 0.4002  2 Cd 2.20

Values from the calculation:
Its total DFT energy (no corrections) is -3.79 eV per atom. The calculation puts the formation energy at 1.547 eV/atom. Its space group is I-42d, No. 122.


# 2
Here is a relaxed structure of Sr4DyCd5 from the Alexandria database. Energies are from PBE-GGA.

a = 3.9641 Å, b = 3.9641 Å, c = 20.1690 Å
α = 90.00°, β = 90.00°, γ = 90.00°
Closest atoms and distances in Å follow each position.
Sites, in units of the cell vectors:
Sr 0.0000 0.0000 0.1038  8 Cd 3.49-3.50
Sr 0.0000 0.0000 0.3103  8 Cd 3.50-3.54, 1 Dy 3.83
Sr 0.0000 0.0000 0.6897  8 Cd 3.50-3.54, 1 Dy 3.83
Sr 0.0000 0.0000 0.8962  8 Cd 3.49-3.50
Dy 0.0000 0.0000 0.5000  8 Cd 3.26
Cd 0.5000 0.5000 0.0000  8 Sr 3.50
Cd 0.5000 0.5000 0.2065  8 Sr 3.49-3.50
Cd 0.5000 0.5000 0.4173  4 Dy 3.26, 1 Cd 3.33, 4 Sr 3.54
Cd 0.5000 0.5000 0.5827  4 Dy 3.26, 1 Cd 3.33, 4 Sr 3.54
Cd 0.5000 0.5000 0.7935  8 Sr 3.49-3.50

Values from the calculation:
Its total DFT energy (no corrections) is -1.91 eV per atom. The calculation puts the formation energy at -0.321 eV/atom. Its space group is P4/mmm, No. 123.


# 3
Here is a relaxed structure of ErTmCoCu from the Alexandria database. Energies are from PBE-GGA.

a = 4.7496 Å, b = 4.7496 Å, c = 4.7496 Å
α = 60.00°, β = 60.00°, γ = 60.00°
Closest atoms and distances in Å follow each position.
Sites, in units of the cell vectors:
Er 0.0000 0.0000 0.0000  4 Co 2.91, 4 Cu 2.91
Tm 0.5000 0.5000 0.5000  4 Co 2.91, 4 Cu 2.91
Co 0.7500 0.7500 0.7500  4 Er 2.91, 4 Tm 2.91
Cu 0.2500 0.2500 0.2500  4 Er 2.91, 4 Tm 2.91

Values from the calculation:
Its total DFT energy (no corrections) is -5.30 eV per atom. The calculation puts the formation energy at -0.237 eV/atom. The calculation puts the energy above the most stable polymorph in this dataset at 17 meV/atom. Its space group is F-43m, No. 216.


# 4
Here is a relaxed structure of Tl2SbCl from the Alexandria database. Energies are from PBE-GGA.

a = 7.5736 Å, b = 7.5736 Å, c = 7.5736 Å
α = 146.42°, β = 146.42°, γ = 48.22°
Closest atoms and distances in Å follow each position.
Sites, in units of the cell vectors:
Tl 0.0000 0.0000 0.0000  4 Sb 3.09
Tl 0.7500 0.2500 0.5000  4 Cl 3.09
Sb 0.5000 0.5000 0.0000  4 Tl 3.09
Cl 0.2500 0.7500 0.5000  4 Tl 3.09

Values from the calculation:
Its total DFT energy (no corrections) is -2.88 eV per atom. The calculation puts the energy above the most stable polymorph in this dataset at 148 meV/atom. Its space group is I-4m2, No. 119.


# 5
Here is a relaxed structure of Be2H6Ir from the Alexandria database. Energies are from PBE-GGA.

a = 4.2618 Å, b = 4.2618 Å, c = 4.2618 Å
α = 60.00°, β = 60.00°, γ = 60.00°
Closest atoms and distances in Å follow each position.
Sites, in units of the cell vectors:
Be 0.2500 0.2500 0.2500  12 H 2.14
Be 0.7500 0.7500 0.7500  12 H 2.14
H 0.2180 0.2180 0.7820  1 Ir 1.70, 4 H 1.86
H 0.2180 0.7820 0.2180  1 Ir 1.70, 4 H 1.86
H 0.2180 0.7820 0.7820  1 Ir 1.70, 4 H 1.86
H 0.7820 0.2180 0.2180  1 Ir 1.70, 4 H 1.86
H 0.7820 0.2180 0.7820  1 Ir 1.70, 4 H 1.86
H 0.7820 0.7820 0.2180  1 Ir 1.70, 4 H 1.86
Ir 0.5000 0.5000 0.5000  6 H 1.70

Values from the calculation:
Its total DFT energy (no corrections) is -3.85 eV per atom. Its space group is Fm-3m, No. 225.


# 6
Here is a relaxed structure of V2HI from the Alexandria database. Energies are from PBE-GGA.

a = 6.2152 Å, b = 6.2152 Å, c = 6.2152 Å
α = 135.00°, β = 135.00°, γ = 65.54°
Closest atoms and distances in Å follow each position.
Sites, in units of the cell vectors:
V 0.3750 0.1892 0.3142  2 H 1.79
V 0.8108 0.1250 0.1858  2 H 1.79
V 0.8750 0.0608 0.6858  2 H 1.79
V 0.9392 0.6250 0.8142  2 H 1.79
H 0.0000 0.0000 0.0000  4 V 1.79
H 0.7500 0.2500 0.5000  4 V 1.79
I 0.2500 0.7500 0.5000  4 V 2.72
I 0.5000 0.5000 0.0000  4 V 2.72

Values from the calculation:
Its total DFT energy (no corrections) is -5.39 eV per atom. The calculation puts the energy above the most stable polymorph in this dataset at 33 meV/atom. Its space group is I-42d, No. 122.


# 7
Here is a relaxed structure of Th4Cu3Au from the Alexandria database. Energies are from PBE-GGA.

a = 3.7982 Å, b = 4.3118 Å, c = 11.6678 Å
α = 90.00°, β = 90.00°, γ = 90.00°
Closest atoms and distances in Å follow each position.
Sites, in units of the cell vectors:
Th 0.0000 0.0000 0.0000  6 Cu 3.02-3.07
Th 0.0000 0.5000 0.2896  7 Cu 3.03-3.22
Th 0.5000 0.0000 0.4865  5 Cu 3.02-3.27, 2 Au 3.20
Th 0.5000 0.5000 0.7987  4 Au 3.06, 3 Cu 3.29-3.32
Cu 0.0000 0.5000 0.5658  2 Au 2.72, 4 Th 3.02
Cu 0.5000 0.0000 0.2063  2 Cu 2.61
Cu 0.5000 0.5000 0.0809  2 Cu 2.61
Au 0.0000 0.0000 0.7075  2 Cu 2.72

Values from the calculation:
Its total DFT energy (no corrections) is -5.90 eV per atom. The calculation puts the formation energy at -0.245 eV/atom. Its space group is Pmm2, No. 25.


# 8
Here is a relaxed structure of TlAs3O from the Alexandria database. Energies are from PBE-GGA.

a = 4.5834 Å, b = 4.5834 Å, c = 4.5834 Å
α = 90.00°, β = 90.00°, γ = 90.00°
Closest atoms and distances in Å follow each position.
Sites, in units of the cell vectors:
Tl 0.0000 0.0000 0.0000  12 As 3.24
As 0.0000 0.5000 0.5000  2 O 2.29
As 0.5000 0.0000 0.5000  2 O 2.29
As 0.5000 0.5000 0.0000  2 O 2.29
O 0.5000 0.5000 0.5000  6 As 2.29

Values from the calculation:
Its total DFT energy (no corrections) is -3.92 eV per atom. The calculation puts the energy above the most stable polymorph in this dataset at 0 meV/atom. Its space group is Pm-3m, No. 221.


# 9
Here is a relaxed structure of FeCo from the Alexandria database. Energies are from PBE-GGA.

a = 2.4536 Å, b = 2.4536 Å, c = 12.0234 Å
α = 90.00°, β = 90.00°, γ = 109.49°
Closest atoms and distances in Å follow each position.
Sites, in units of the cell vectors:
Fe 0.0000 0.0000 0.0000  8 Fe 2.45-2.48
Fe 0.5000 0.5000 0.1693  2 Co 2.45, 6 Fe 2.45-2.48
Fe 0.5000 0.5000 0.8307  2 Co 2.45, 6 Fe 2.45-2.48
Co 0.0000 0.0000 0.3355  6 Co 2.43-2.45, 2 Fe 2.45
Co 0.0000 0.0000 0.6645  6 Co 2.43-2.45, 2 Fe 2.45
Co 0.5000 0.5000 0.5000  8 Co 2.43-2.45

Values from the calculation:
Its total DFT energy (no corrections) is -7.76 eV per atom. The calculation puts the formation energy at 0.029 eV/atom. Its space group is Cmmm, No. 65.


> total DFT energy (no corrections) of number 7 (Th4Cu3Au)?

-5.90 eV per atom


> Number 9 is which compound?

FeCo


> Which formula does entry 2 have?

Sr4DyCd5